[1]
Density functional theory data (PBE-GGA) for a relaxed structure of Pm6Pr12Nd. Values from VASP.

Values from the calculation:
* energy above the most stable polymorph in this dataset: 0.000 eV per atom
* calculated density: 6.545 g/cm3
* total moment: 0.000 μB/atom
* ΔH_f (0 K): 122 meV/atom
* E: -4.647 eV per atom

The structure in Quantum ESPRESSO input format:
```
&SYSTEM
  ibrav = 0, nat = 19, ntyp = 3
/
ATOMIC_SPECIES
Pr 140.91 Pr.upf
Pm 145.00 Pm.upf
Nd 144.24 Nd.upf
ATOMIC_POSITIONS crystal
Pr 0.781 0.535 0.434
Pr 0.566 0.219 0.465
Pr 0.018 0.194 0.361
Pr 0.639 0.982 0.806
Pr 0.434 0.781 0.535
Pr 0.194 0.361 0.018
Pr 0.361 0.018 0.194
Pr 0.982 0.806 0.639
Pr 0.806 0.639 0.982
Pr 0.219 0.465 0.566
Pr 0.535 0.434 0.781
Pr 0.465 0.566 0.219
Pm 0.097 0.699 0.261
Pm 0.699 0.261 0.097
Pm 0.903 0.301 0.739
Pm 0.301 0.739 0.903
Pm 0.739 0.903 0.301
Pm 0.261 0.097 0.699
Nd 0.000 0.000 0.000
CELL_PARAMETERS angstrom
8.755 0.697 0.835
-0.639 8.759 0.835
-0.639 -0.744 8.767
```


[2]
Density functional theory data (PBE-GGA) for a relaxed structure of Zr5HgN. Values from VASP.

Values from the calculation:
* calculated density: 7.841 g/cm3
* total moment: 0.000 μB/atom
* E: -7.772 eV per atom
* formation energy (no corrections): -433 meV/atom

The structure in Quantum ESPRESSO input format:
```
&SYSTEM
  ibrav = 0, nat = 14, ntyp = 3
/
ATOMIC_SPECIES
N 14.01 N.upf
Zr 91.22 Zr.upf
Hg 200.59 Hg.upf
ATOMIC_POSITIONS crystal
N 0.000 0.000 0.000
N 0.000 0.000 0.500
Zr 0.989 0.618 0.123
Zr 0.182 0.573 0.542
Zr 0.818 0.427 0.458
Zr 0.427 0.818 0.958
Zr 0.974 0.026 0.250
Zr 0.026 0.974 0.750
Zr 0.573 0.182 0.042
Zr 0.382 0.011 0.377
Zr 0.011 0.382 0.877
Zr 0.618 0.989 0.623
Hg 0.510 0.490 0.750
Hg 0.490 0.510 0.250
CELL_PARAMETERS angstrom
5.964 0.520 -0.075
2.385 5.491 -0.075
3.003 2.162 8.963
```


no.,Fermi-level density of states (states/eV/f.u.)
1,29.6
2,7.0